This record from Alexandria via LeMat-Bulk describes crystalline NaCo2Os2 at its relaxed geometry. The functional is GGA-PBE.

a b c (Å): 7.4671 7.4671 2.5577
angles (deg): 90.00 90.00 90.00
With the nearest neighbours (Å) after each atom.
Fractional positions:
Co 0.3343 0.8343 0.0000  6 Os 2.54-2.55, 2 Co 2.56, 2 Na 2.79
Co 0.8343 0.6657 0.0000  6 Os 2.54-2.55, 2 Co 2.56, 2 Na 2.79
Co 0.6657 0.1657 0.0000  6 Os 2.54-2.55, 2 Co 2.56, 2 Na 2.79
Co 0.1657 0.3343 0.0000  6 Os 2.54-2.55, 2 Co 2.56, 2 Na 2.79
Os 0.1255 0.6255 0.5000  6 Co 2.54-2.55, 3 Os 2.56-2.65
Os 0.6255 0.8745 0.5000  6 Co 2.54-2.55, 3 Os 2.56-2.65
Os 0.8745 0.3745 0.5000  6 Co 2.54-2.55, 3 Os 2.56-2.65
Os 0.3745 0.1255 0.5000  6 Co 2.54-2.55, 3 Os 2.56-2.65
Na 0.0000 0.0000 0.0000  2 Na 2.56, 4 Co 2.79
Na 0.5000 0.5000 0.0000  2 Na 2.56, 4 Co 2.79

Summary:
Offset from the most stable computed form, eV per atom: 0.000
Symmetry: P4/mbm

This record from Alexandria via LeMat-Bulk describes crystalline Na3CoOs at its relaxed geometry. The functional is GGA-PBE.

a b c (Å): 5.6014 5.6014 5.6014
angles (deg): 90.00 90.00 90.00
With the nearest neighbours (Å) after each atom.
Fractional positions:
Co 0.5000 0.5000 0.5000  12 Na 3.96
Os 0.0000 0.0000 0.0000  6 Na 2.80
Na 0.0000 0.5000 0.0000  2 Os 2.80
Na 0.0000 0.0000 0.5000  2 Os 2.80
Na 0.5000 0.0000 0.0000  2 Os 2.80

Summary:
Offset from the most stable computed form, eV per atom: 0.017
Symmetry: Pm-3m

This record from Alexandria via LeMat-Bulk describes crystalline Na3CoOs at its relaxed geometry. The functional is GGA-PBE.

a b c (Å): 5.1647 5.1647 5.1647
angles (deg): 90.00 90.00 90.00
With the nearest neighbours (Å) after each atom.
Fractional positions:
Co 0.0000 0.0000 0.0000  6 Na 2.58
Os 0.5000 0.5000 0.5000  12 Na 3.65
Na 0.0000 0.5000 0.0000  2 Co 2.58
Na 0.0000 0.0000 0.5000  2 Co 2.58
Na 0.5000 0.0000 0.0000  2 Co 2.58

Summary:
Offset from the most stable computed form, eV per atom: 0.000
Symmetry: Pm-3m

This record from Alexandria via LeMat-Bulk describes crystalline NaCoP2Os at its relaxed geometry. The functional is GGA-PBE.

a b c (Å): 3.8883 3.8883 5.8421
angles (deg): 109.44 109.44 90.00
With the nearest neighbours (Å) after each atom.
Fractional positions:
Na 0.0000 0.0000 0.0000  8 P 3.07, 4 Os 3.23, 4 Co 3.23
Co 0.2500 0.7500 0.5000  4 P 2.29
P 0.6334 0.6334 0.2669  2 Os 2.29, 2 Co 2.29
P 0.3666 0.3666 0.7331  2 Co 2.29, 2 Os 2.29
Os 0.7500 0.2500 0.5000  4 P 2.29

Summary:
Symmetry: I-4m2

This record from Alexandria via LeMat-Bulk describes crystalline NaCoOsRu2 at its relaxed geometry. The functional is GGA-PBE.

a b c (Å): 4.7151 4.5725 4.7151
angles (deg): 90.00 90.00 90.00
With the nearest neighbours (Å) after each atom.
Fractional positions:
Na 0.5000 0.5000 0.5000  8 Ru 3.28, 4 Co 3.33
Ru 0.0000 0.0000 0.5000  2 Os 2.36
Ru 0.5000 0.0000 0.0000  2 Os 2.36
Os 0.0000 0.0000 0.0000  2 Co 2.29, 4 Ru 2.36
Co 0.0000 0.5000 0.0000  2 Os 2.29

Summary:
Symmetry: P4/mmm

This record from Alexandria via LeMat-Bulk describes crystalline Na2CoTeOs at its relaxed geometry. The functional is GGA-PBE.

a b c (Å): 5.6555 4.7259 5.6555
angles (deg): 90.00 90.00 90.00
With the nearest neighbours (Å) after each atom.
Fractional positions:
Co 0.0000 0.5000 0.0000  2 Te 2.36
Te 0.0000 0.0000 0.0000  2 Co 2.36
Os 0.5000 0.5000 0.5000  8 Na 3.69, 4 Co 4.00
Na 0.0000 0.0000 0.5000  2 Te 2.83
Na 0.5000 0.0000 0.0000  2 Te 2.83

Summary:
Symmetry: P4/mmm
ΔE_f (raw), meV/atom: 1376

This record from Alexandria via LeMat-Bulk describes crystalline NaCo4P2 at its relaxed geometry. The functional is GGA-PBE.

a b c (Å): 3.7463 3.7542 6.6578
angles (deg): 106.38 90.00 90.00
With the nearest neighbours (Å) after each atom.
Fractional positions:
Na 0.0000 0.0000 0.0000  8 P 2.91, 8 Co 3.02-3.05
Co 0.5000 0.8141 0.6282  2 P 2.21, 2 Co 2.47
Co 0.0000 0.6882 0.3764  2 P 2.23, 4 Co 2.45-2.47
Co 0.5000 0.1859 0.3718  2 P 2.21, 2 Co 2.47
Co 0.0000 0.3118 0.6236  2 P 2.23, 4 Co 2.45-2.47
P 0.5000 0.5941 0.1882  4 Co 2.21-2.23, 1 P 2.40
P 0.5000 0.4059 0.8118  4 Co 2.21-2.23, 1 P 2.40

Summary:
Symmetry: Cmmm

This record from Alexandria via LeMat-Bulk describes crystalline NaCoP at its relaxed geometry. The functional is GGA-PBE.

a b c (Å): 4.1503 4.1507 5.7209
angles (deg): 98.56 81.37 78.64
With the nearest neighbours (Å) after each atom.
Fractional positions:
Na 0.0090 0.1823 0.4969  3 Na 2.65-2.85, 2 P 2.87, 2 Co 2.89-2.90
Na 0.4518 0.6258 0.4976  3 Na 2.65-2.85, 2 P 2.88, 2 Co 2.89-2.90
Co 0.5217 0.6955 0.9974  4 P 2.22-2.25
Co 0.9393 0.1131 0.9972  4 P 2.22-2.25
P 0.4576 0.1773 0.8652  4 Co 2.22-2.25
P 0.0033 0.6312 0.1293  4 Co 2.22-2.25

Summary:
Symmetry: C2/m

This record from Alexandria via LeMat-Bulk describes crystalline Na2CoP2 at its relaxed geometry. The functional is GGA-PBE.

a b c (Å): 5.7844 5.7844 4.8423
angles (deg): 90.00 90.00 90.00
With the nearest neighbours (Å) after each atom.
Fractional positions:
P 0.3616 0.8616 0.0000  2 Co 2.24, 1 P 2.27
P 0.8616 0.6384 0.0000  2 Co 2.24, 1 P 2.27
P 0.6384 0.1384 0.0000  2 Co 2.24, 1 P 2.27
P 0.1384 0.3616 0.0000  2 Co 2.24, 1 P 2.27
Co 0.0000 0.0000 0.0000  4 P 2.24
Co 0.5000 0.5000 0.0000  4 P 2.24
Na 0.1797 0.6797 0.5000  6 P 2.84-3.05, 5 Na 2.94-3.00
Na 0.6797 0.8203 0.5000  6 P 2.84-3.05, 5 Na 2.94-3.00
Na 0.8203 0.3203 0.5000  6 P 2.84-3.05, 5 Na 2.94-3.00
Na 0.3203 0.1797 0.5000  6 P 2.84-3.05, 5 Na 2.94-3.00

Summary:
Symmetry: P4/mbm

This record from Alexandria via LeMat-Bulk describes crystalline NaCoP at its relaxed geometry. The functional is GGA-PBE.

a b c (Å): 4.1522 4.1519 6.6051
angles (deg): 104.58 119.47 79.28
With the nearest neighbours (Å) after each atom.
Fractional positions:
Na 0.3154 0.1535 0.4969  2 Na 2.65, 2 P 2.82-2.83, 2 Co 2.90-2.92
Na 0.8113 0.6478 0.4990  2 Na 2.65, 2 P 2.83-2.84, 2 Co 2.90
Co 0.5136 0.3680 0.9973  4 P 2.22-2.25
Co 0.0971 0.9522 0.9957  4 P 2.22-2.25
P 0.5204 0.8190 0.8701  4 Co 2.22-2.25
P 0.0922 0.5009 0.1246  4 Co 2.22-2.25

Summary:
Symmetry: P1

This record from Alexandria via LeMat-Bulk describes crystalline NaCoP at its relaxed geometry. The functional is GGA-PBE.

a b c (Å): 5.1087 3.4235 5.7051
angles (deg): 107.46 90.00 90.00
With the nearest neighbours (Å) after each atom.
Fractional positions:
Na 0.7332 0.3701 0.4113  5 P 2.97-3.00, 4 Co 3.10, 4 Na 3.21
Na 0.2332 0.9558 0.5831  5 P 2.97-3.00, 4 Co 3.11, 4 Na 3.21
Co 0.4832 0.6628 0.9974  4 P 2.26
Co 0.9832 0.6628 0.9973  4 P 2.26
P 0.7331 0.0958 0.8633  4 Co 2.26
P 0.2331 0.2298 0.1312  4 Co 2.26

Summary:
Symmetry: Cmcm

This record from Alexandria via LeMat-Bulk describes crystalline Na3CoP at its relaxed geometry. The functional is GGA-PBE.

a b c (Å): 5.2714 5.2714 5.2714
angles (deg): 90.00 90.00 90.00
With the nearest neighbours (Å) after each atom.
Fractional positions:
P 0.5000 0.5000 0.5000  12 Na 3.73
Co 0.0000 0.0000 0.0000  6 Na 2.64
Na 0.0000 0.5000 0.0000  2 Co 2.64
Na 0.0000 0.0000 0.5000  2 Co 2.64
Na 0.5000 0.0000 0.0000  2 Co 2.64

Summary:
Offset from the most stable computed form, eV per atom: 0.304
Symmetry: Pm-3m

no.,uncorrected energy (eV per atom),total magnetization (μB per cell),DOS at the Fermi energy (states/eV/cell)
1,-7.182,0.004,10.6
2,-2.615,4.038,5.7
3,-2.632,4.034,2.8
4,-6.544,0.000,2.0
5,-6.274,1.660,6.1
6,-3.447,5.000,4.9
7,-6.075,4.067,6.6
8,-4.936,0.000,2.0
9,-4.507,0.000,4.3
10,-4.914,0.000,2.4
11,-4.901,0.326,4.8
12,-2.358,3.000,10.5